--- 1 ---
Entry from the Alexandria database: YCrSb2 after structural relaxation (GGA-PBE).

Properties
* density of states at the Fermi level: 1.78 states/eV/f.u.
* mass density: 6.54 Mg/m³

abc: 4.387 5.836 7.626
angles: 90.00 90.00 90.00
Space group Cmmm (No. 65)
Symmetry-distinct sites (fractional):
Y: 0.000 0.000 0.000 [2 per cell]
Cr: 0.000 0.000 0.500 [2 per cell]
Sb: 0.000 0.500 0.278 [4 per cell]

***

--- 2 ---
Entry from the Alexandria database: YCrSb2 after structural relaxation (GGA-PBE).

Properties
* density of states at the Fermi level: 1.85 states/eV/f.u.
* mass density: 6.66 Mg/m³

abc: 4.282 4.282 10.454
angles: 90.00 90.00 90.00
Space group I-4m2 (No. 119)
Symmetry-distinct sites (fractional):
Y: 0.000 0.000 0.000 [2 per cell]
Cr: 0.000 0.500 0.750 [2 per cell]
Sb: 0.000 0.000 0.500 [2 per cell]
Sb: 0.000 0.500 0.250 [2 per cell]

***

In kJ/mol of atoms, relative to the most stable structure: 1 4.9; 2 0.0.

***

--- 1 ---
Entry from the Alexandria database: YCrSb2 after structural relaxation (GGA-PBE).

Properties
* density of states at the Fermi level: 1.78 states/eV/f.u.
* mass density: 4.69 Mg/m³

abc: 6.093 6.093 14.652
angles: 90.00 90.00 90.00
Space group I-42d (No. 122)
Symmetry-distinct sites (fractional):
Y: 0.000 0.000 0.000 [4 per cell]
Cr: 0.000 0.000 0.500 [4 per cell]
Sb: 0.192 0.250 0.625 [8 per cell]

***

--- 2 ---
Entry from the Alexandria database: YCrSb2 after structural relaxation (GGA-PBE).

Properties
* density of states at the Fermi level: 1.88 states/eV/f.u.
* mass density: 6.61 Mg/m³

abc: 4.025 4.784 5.018
angles: 90.00 90.00 90.00
Space group Pmmm (No. 47)
Symmetry-distinct sites (fractional):
Y: 0.000 0.000 0.000 [1 per cell]
Cr: 0.000 0.500 0.500 [1 per cell]
Sb: 0.500 0.000 0.500 [1 per cell]
Sb: 0.500 0.500 0.000 [1 per cell]

***

--- 3 ---
Entry from the Alexandria database: YCrSb2 after structural relaxation (GGA-PBE).

Properties
* density of states at the Fermi level: 1.52 states/eV/f.u.
* mass density: 6.23 Mg/m³

abc: 3.375 5.390 5.876
angles: 90.00 106.60 90.00
Space group Pm (No. 6)
Symmetry-distinct sites (fractional):
Y: 0.000 0.000 0.000 [1 per cell]
Cr: 0.707 0.500 0.410 [1 per cell]
Sb: 0.433 0.500 0.866 [1 per cell]
Sb: 0.727 0.000 0.458 [1 per cell]

***

--- 4 ---
Entry from the Alexandria database: YCrSb2 after structural relaxation (GGA-PBE).

Properties
* density of states at the Fermi level: 1.80 states/eV/f.u.
* mass density: 6.44 Mg/m³

abc: 11.136 4.117 4.461
angles: 90.00 104.33 90.00
Space group Cm (No. 8)
Symmetry-distinct sites (fractional):
Y: 0.000 0.000 0.000 [2 per cell]
Cr: 0.231 0.000 0.611 [2 per cell]
Sb: 0.232 0.500 0.101 [2 per cell]
Sb: 0.478 0.000 0.490 [2 per cell]

***

In kJ/mol of atoms, relative to the most stable structure: 1 32.8; 2 3.8; 3 8.4; 4 0.0.

***

--- 1 ---
Entry from the Alexandria database: YCrSb2 after structural relaxation (GGA-PBE).

Properties
* density of states at the Fermi level: 1.79 states/eV/f.u.
* mass density: 6.45 Mg/m³

abc: 4.308 5.933 7.741
angles: 90.00 90.00 90.00
Space group Immm (No. 71)
Symmetry-distinct sites (fractional):
Y: 0.000 0.000 0.000 [2 per cell]
Cr: 0.000 0.000 0.500 [2 per cell]
Sb: 0.000 0.500 0.219 [4 per cell]

***

--- 2 ---
Entry from the Alexandria database: YCrSb2 after structural relaxation (GGA-PBE).

Properties
* density of states at the Fermi level: 0.87 states/eV/f.u.
* mass density: 6.41 Mg/m³

abc: 4.2133 4.2133 19.4221
angles: 90.00 90.00 120.00
Space group R-3m (No. 166, hexagonal axes)
Symmetry-distinct sites (fractional):
Y: 0.0000 0.0000 0.0000 [3 per cell]
Cr: 0.0000 0.0000 0.5000 [3 per cell]
Sb: 0.0000 0.0000 0.2357 [6 per cell]

***

--- 3 ---
Entry from the Alexandria database: YCrSb2 after structural relaxation (GGA-PBE).

Properties
* density of states at the Fermi level: 3.49 states/eV/f.u.
* mass density: 6.43 Mg/m³

abc: 7.351 7.351 7.351
angles: 90.00 90.00 90.00
Space group F-43m (No. 216)
Symmetry-distinct sites (fractional):
Y: 0.000 0.000 0.000 [4 per cell]
Cr: 0.250 0.250 0.750 [4 per cell]
Sb: 0.000 0.000 0.500 [4 per cell]
Sb: 0.250 0.250 0.250 [4 per cell]

***

--- 4 ---
Entry from the Alexandria database: YCrSb2 after structural relaxation (GGA-PBE).

Properties
* density of states at the Fermi level: 3.80 states/eV/f.u.
* mass density: 7.35 Mg/m³

abc: 7.030 7.030 7.030
angles: 90.00 90.00 90.00
Space group Fm-3m (No. 225)
Symmetry-distinct sites (fractional):
Y: 0.000 0.000 0.000 [4 per cell]
Cr: 0.000 0.000 0.500 [4 per cell]
Sb: 0.250 0.250 0.250 [8 per cell]

***

In kJ/mol of atoms, relative to the most stable structure: 1 16.9; 2 0.0; 3 51.1; 4 44.3.

***

--- 1 ---
Entry from the Alexandria database: YCrSb2 after structural relaxation (GGA-PBE).

Properties
* density of states at the Fermi level: 1.13 states/eV/f.u.
* mass density: 6.12 Mg/m³

abc: 4.160 4.160 6.026
angles: 90.00 90.00 90.00
Space group P4mm (No. 99)
Symmetry-distinct sites (fractional):
Y: 0.000 0.000 0.000 [1 per cell]
Cr: 0.500 0.500 0.408 [1 per cell]
Sb: 0.000 0.000 0.491 [1 per cell]
Sb: 0.500 0.500 0.900 [1 per cell]

***

--- 2 ---
Entry from the Alexandria database: YCrSb2 after structural relaxation (GGA-PBE).

Properties
* density of states at the Fermi level: 2.10 states/eV/f.u.
* mass density: 6.51 Mg/m³

abc: 3.481 4.117 6.922
angles: 90.00 98.99 90.00
Space group P2/m (No. 10)
Symmetry-distinct sites (fractional):
Y: 0.000 0.000 0.000 [1 per cell]
Cr: 0.500 0.000 0.500 [1 per cell]
Sb: 0.320 0.500 0.732 [2 per cell]

***

In kJ/mol of atoms, relative to the most stable structure: 1 0.0; 2 5.3.

***

--- 1 ---
Entry from the Alexandria database: YCrSb3 after structural relaxation (GGA-PBE).

Properties
* density of states at the Fermi level: 3.88 states/eV/f.u.
* mass density: 4.45 Mg/m³

abc: 5.735 5.735 5.735
angles: 90.00 90.00 90.00
Space group Pm-3m (No. 221)
Symmetry-distinct sites (fractional):
Y: 0.000 0.000 0.000 [1 per cell]
Cr: 0.500 0.500 0.500 [1 per cell]
Sb: 0.000 0.000 0.500 [3 per cell]

***

--- 2 ---
Entry from the Alexandria database: YCrSb3 after structural relaxation (GGA-PBE).

Properties
* density of states at the Fermi level: 4.77 states/eV/f.u.
* mass density: 6.14 Mg/m³

abc: 5.155 5.155 5.155
angles: 90.00 90.00 90.00
Space group Pm-3m (No. 221)
Symmetry-distinct sites (fractional):
Y: 0.000 0.000 0.000 [1 per cell]
Cr: 0.500 0.500 0.500 [1 per cell]
Sb: 0.000 0.500 0.500 [3 per cell]

***

In kJ/mol of atoms, relative to the most stable structure: 1 58.4; 2 0.0.

***

--- 1 ---
Entry from the Alexandria database: ZnCrSb after structural relaxation (GGA-PBE).

Properties
* density of states at the Fermi level: 1.78 states/eV/f.u.
* mass density: 6.79 Mg/m³

abc: 4.3930 4.3930 3.4988
angles: 90.00 90.00 120.00
Space group P3m1 (No. 156)
Symmetry-distinct sites (fractional):
Zn: 0.0000 0.0000 0.0000 [1 per cell]
Cr: 0.6667 0.3333 0.1850 [1 per cell]
Sb: 0.3333 0.6667 0.6108 [1 per cell]

***

--- 2 ---
Entry from the Alexandria database: ZnCrSb after structural relaxation (GGA-PBE).

Properties
* density of states at the Fermi level: 1.66 states/eV/f.u.
* mass density: 6.72 Mg/m³

abc: 3.095 3.095 12.344
angles: 90.00 90.00 90.00
Space group I4mm (No. 107)
Symmetry-distinct sites (fractional):
Zn: 0.000 0.000 0.000 [2 per cell]
Cr: 0.000 0.000 0.624 [2 per cell]
Sb: 0.000 0.000 0.274 [2 per cell]

***

--- 3 ---
Entry from the Alexandria database: ZnCrSb after structural relaxation (GGA-PBE).

Properties
* density of states at the Fermi level: 2.03 states/eV/f.u.
* mass density: 6.62 Mg/m³

abc: 3.2791 3.2791 6.4388
angles: 90.00 90.00 120.00
Space group P3m1 (No. 156)
Symmetry-distinct sites (fractional):
Zn: 0.0000 0.0000 0.0000 [1 per cell]
Cr: 0.6667 0.3333 0.2999 [1 per cell]
Sb: 0.3333 0.6667 0.6220 [1 per cell]

***

--- 4 ---
Entry from the Alexandria database: ZnCrSb after structural relaxation (GGA-PBE).

Properties
* density of states at the Fermi level: 1.93 states/eV/f.u.
* mass density: 8.05 Mg/m³

abc: 3.375 3.375 8.662
angles: 90.00 90.00 90.00
Space group I4mm (No. 107)
Symmetry-distinct sites (fractional):
Zn: 0.000 0.000 0.000 [2 per cell]
Cr: 0.000 0.000 0.657 [2 per cell]
Sb: 0.000 0.000 0.316 [2 per cell]

***

In kJ/mol of atoms, relative to the most stable structure: 1 6.0; 2 2.6; 3 8.4; 4 0.0.

***

--- 1 ---
Entry from the Alexandria database: ZnCr2Sb after structural relaxation (GGA-PBE).

Properties
* density of states at the Fermi level: 1.77 states/eV/f.u.
* mass density: 7.15 Mg/m³

abc: 9.071 3.112 4.895
angles: 90.00 102.03 90.00
Space group Cm (No. 8)
Symmetry-distinct sites (fractional):
Zn: 0.000 0.000 0.000 [2 per cell]
Cr: 0.026 0.500 0.571 [2 per cell]
Cr: 0.250 0.000 0.785 [2 per cell]
Sb: 0.268 0.500 0.301 [2 per cell]

***

--- 2 ---
Entry from the Alexandria database: ZnCr2Sb after structural relaxation (GGA-PBE).

Properties
* density of states at the Fermi level: 3.61 states/eV/f.u.
* mass density: 7.50 Mg/m³

abc: 4.153 4.153 7.478
angles: 90.00 90.00 90.00
Space group I4/mmm (No. 139)
Symmetry-distinct sites (fractional):
Zn: 0.000 0.000 0.000 [2 per cell]
Cr: 0.000 0.500 0.250 [4 per cell]
Sb: 0.000 0.000 0.500 [2 per cell]

***

In kJ/mol of atoms, relative to the most stable structure: 1 0.0; 2 1.6.

***

--- 1 ---
Entry from the Alexandria database: ZnCr2Sb after structural relaxation (GGA-PBE).

Properties
* density of states at the Fermi level: 2.43 states/eV/f.u.
* mass density: 7.30 Mg/m³

abc: 2.9998 2.9998 25.4866
angles: 90.00 90.00 120.00
Space group R3m (No. 160, hexagonal axes)
Symmetry-distinct sites (fractional):
Zn: 0.0000 0.0000 0.0000 [3 per cell]
Cr: 0.0000 0.0000 0.4730 [3 per cell]
Cr: 0.0000 0.0000 0.7474 [3 per cell]
Sb: 0.0000 0.0000 0.2275 [3 per cell]

***

--- 2 ---
Entry from the Alexandria database: ZnCr2Sb after structural relaxation (GGA-PBE).

Properties
* density of states at the Fermi level: 2.59 states/eV/f.u.
* mass density: 7.25 Mg/m³

abc: 6.437 6.437 6.437
angles: 90.00 90.00 90.00
Space group F-43m (No. 216)
Symmetry-distinct sites (fractional):
Zn: 0.000 0.000 0.000 [4 per cell]
Cr: 0.000 0.000 0.500 [4 per cell]
Cr: 0.250 0.250 0.250 [4 per cell]
Sb: 0.250 0.250 0.750 [4 per cell]

***

In kJ/mol of atoms, relative to the most stable structure: 1 3.8; 2 0.0.

***

--- 1 ---
Entry from the Alexandria database: ZrCr3Sb after structural relaxation (GGA-PBE).

Properties
* density of states at the Fermi level: 4.33 states/eV/f.u.
* mass density: 5.41 Mg/m³

abc: 4.839 4.839 4.839
angles: 90.00 90.00 90.00
Space group Pm-3m (No. 221)
Symmetry-distinct sites (fractional):
Zr: 0.000 0.000 0.000 [1 per cell]
Cr: 0.000 0.000 0.500 [3 per cell]
Sb: 0.500 0.500 0.500 [1 per cell]

***

--- 2 ---
Entry from the Alexandria database: ZrCr3Sb after structural relaxation (GGA-PBE).

Properties
* density of states at the Fermi level: 6.38 states/eV/f.u.
* mass density: 5.35 Mg/m³

abc: 4.856 4.856 4.856
angles: 90.00 90.00 90.00
Space group Pm-3m (No. 221)
Symmetry-distinct sites (fractional):
Zr: 0.000 0.000 0.000 [1 per cell]
Cr: 0.000 0.500 0.500 [3 per cell]
Sb: 0.500 0.500 0.500 [1 per cell]

***

In kJ/mol of atoms, relative to the most stable structure: 1 21.7; 2 0.0.

***

--- 1 ---
Entry from the Alexandria database: ZrCrSb2 after structural relaxation (GGA-PBE).

Properties
* density of states at the Fermi level: 1.98 states/eV/f.u.
* mass density: 7.05 Mg/m³

abc: 3.834 4.312 5.827
angles: 90.00 109.11 90.00
Space group Pm (No. 6)
Symmetry-distinct sites (fractional):
Zr: 0.000 0.000 0.000 [1 per cell]
Cr: 0.193 0.500 0.383 [1 per cell]
Sb: 0.442 0.500 0.884 [1 per cell]
Sb: 0.717 0.000 0.433 [1 per cell]

***

--- 2 ---
Entry from the Alexandria database: ZrCrSb2 after structural relaxation (GGA-PBE).

Properties
* density of states at the Fermi level: 3.65 states/eV/f.u.
* mass density: 6.93 Mg/m³

abc: 7.087 4.084 6.821
angles: 90.00 110.21 90.00
Space group C2/m (No. 12)
Symmetry-distinct sites (fractional):
Zr: 0.000 0.000 0.000 [2 per cell]
Cr: 0.000 0.500 0.500 [2 per cell]
Sb: 0.241 0.000 0.724 [4 per cell]

***

--- 3 ---
Entry from the Alexandria database: ZrCrSb2 after structural relaxation (GGA-PBE).

Properties
* density of states at the Fermi level: 2.96 states/eV/f.u.
* mass density: 7.47 Mg/m³

abc: 6.509 7.160 3.688
angles: 90.00 90.00 90.00
Space group Cmmm (No. 65)
Symmetry-distinct sites (fractional):
Zr: 0.000 0.000 0.000 [2 per cell]
Cr: 0.000 0.500 0.000 [2 per cell]
Sb: 0.250 0.250 0.500 [4 per cell]

***

In kJ/mol of atoms, relative to the most stable structure: 1 0.0; 2 3.3; 3 6.6.

***

--- 1 ---
Entry from the Alexandria database: ZrCrSb2 after structural relaxation (GGA-PBE).

Properties
* density of states at the Fermi level: 2.82 states/eV/f.u.
* mass density: 7.31 Mg/m³

abc: 3.503 3.892 6.627
angles: 90.00 103.52 90.00
Space group P2/m (No. 10)
Symmetry-distinct sites (fractional):
Zr: 0.000 0.000 0.000 [1 per cell]
Cr: 0.000 0.000 0.500 [1 per cell]
Sb: 0.425 0.500 0.749 [2 per cell]

***

--- 2 ---
Entry from the Alexandria database: ZrCrSb2 after structural relaxation (GGA-PBE).

Properties
* density of states at the Fermi level: 2.60 states/eV/f.u.
* mass density: 8.15 Mg/m³

abc: 3.308 3.308 7.199
angles: 90.00 90.00 90.00
Space group P4/mmm (No. 123)
Symmetry-distinct sites (fractional):
Zr: 0.000 0.000 0.000 [1 per cell]
Cr: 0.000 0.000 0.500 [1 per cell]
Sb: 0.500 0.500 0.281 [2 per cell]

***

In kJ/mol of atoms, relative to the most stable structure: 1 0.0; 2 6.6.